(1)
The following is a PBE-GGA calculation of a relaxed Ga2Ni2Sn crystal, from the Alexandria database.

Cell and atoms, written as POSCAR:
```
Ga2Ni2Sn
1.0
-7.2310 -0.3882 1.7785
1.7970 -2.6870 6.7196
0.1086 2.5925 1.0076
Ni Ga Sn
4 4 2
direct
0.8306 0.3306 0.5000
0.6694 0.8306 0.5000
0.3306 0.1694 0.5000
0.1694 0.6694 0.5000
0.6256 0.1256 0.0000
0.3744 0.8744 0.0000
0.1256 0.3744 0.0000
0.8744 0.6256 0.0000
0.5000 0.5000 0.0000
0.0000 0.0000 0.0000
```

calculated formation energy = -72 meV per atom
VASP energy = -4.40 eV/atom
DOS at the Fermi energy = 5.2 states/eV per cell
space group = P4/mbm (127)
polymorph energy (0 for the lowest one) = 187.6 meV per atom

(2)
The following is a PBE-GGA calculation of a relaxed Ga2NiSn2 crystal, from the Alexandria database.

Cell and atoms, written as POSCAR:
```
Ga2NiSn2
1.0
6.4580 0.0000 0.0000
0.0000 6.4580 0.0000
0.0000 0.0000 4.8974
Ga Sn Ni
4 4 2
direct
0.3519 0.8519 0.0000
0.6481 0.1481 0.0000
0.8519 0.6481 0.0000
0.1481 0.3519 0.0000
0.6766 0.8234 0.5000
0.3234 0.1766 0.5000
0.1766 0.6766 0.5000
0.8234 0.3234 0.5000
0.5000 0.5000 0.0000
0.0000 0.0000 0.0000
```

calculated formation energy = 62 meV per atom
VASP energy = -3.91 eV/atom
DOS at the Fermi energy = 3.5 states/eV per cell
space group = P4/mbm (127)
polymorph energy (0 for the lowest one) = 0.0 meV per atom